(1)
Here is MgAlSi after structural relaxation from Alexandria. Energies are from PBE.

abc: 4.6262 3.3018 7.4770
angles: 90.00 105.23 90.00
With the nearest neighbours (Å) after each atom.
Fractional positions:
Mg 0.7772 0.2500 0.6456  5 Si 2.75-2.94, 1 Al 2.86
Mg 0.2228 0.7500 0.3544  5 Si 2.75-2.94, 1 Al 2.86
Al 0.2316 0.2500 0.9897  3 Si 2.51-2.65, 2 Al 2.74
Al 0.7684 0.7500 0.0103  3 Si 2.51-2.65, 2 Al 2.74
Si 0.6765 0.2500 0.2668  3 Al 2.51-2.65, 1 Mg 2.75
Si 0.3235 0.7500 0.7332  3 Al 2.51-2.65, 1 Mg 2.75

***

(2)
Here is MgAlSi2 after structural relaxation from Alexandria. Energies are from PBE.

abc: 4.4648 4.4648 5.0985
angles: 75.36 75.36 47.34
With the nearest neighbours (Å) after each atom.
Fractional positions:
Al 0.7500 0.7500 0.7500  6 Si 2.54-2.64
Mg 0.2500 0.2500 0.2500  6 Si 2.87-2.90, 4 Al 3.12
Si 0.0091 0.0091 0.9334  3 Al 2.54-2.64, 2 Si 2.62
Si 0.4909 0.4909 0.5666  3 Al 2.54-2.64, 2 Si 2.62

***

(3)
Here is MgAl4Si after structural relaxation from Alexandria. Energies are from PBE.

abc: 5.3470 5.3470 5.3470
angles: 60.00 60.00 60.00
With the nearest neighbours (Å) after each atom.
Fractional positions:
Mg 0.7500 0.7500 0.7500  12 Al 3.14, 4 Si 3.27
Al 0.8758 0.3747 0.3747  6 Al 2.67-2.68
Al 0.3747 0.3747 0.8758  6 Al 2.67-2.68
Al 0.3747 0.8758 0.3747  6 Al 2.67-2.68
Al 0.3747 0.3747 0.3747  6 Al 2.67-2.68
Si 0.0000 0.0000 0.0000  12 Al 3.13, 4 Mg 3.27

***

(4)
Here is MgAlSi2 after structural relaxation from Alexandria. Energies are from PBE.

abc: 7.3592 7.3592 5.8829
angles: 51.28 51.28 90.00
With the nearest neighbours (Å) after each atom.
Fractional positions:
Mg 0.5000 0.5000 0.0000  2 Al 2.74, 4 Si 2.88
Mg 0.2500 0.7500 0.5000  2 Al 2.74, 4 Si 2.88
Si 0.6610 0.1250 0.2500  2 Al 2.52, 2 Si 2.79
Si 0.0890 0.6250 0.2500  2 Al 2.52, 2 Si 2.79
Si 0.3750 0.3390 0.7500  2 Al 2.52, 2 Si 2.79
Si 0.8750 0.9110 0.7500  2 Al 2.52, 2 Si 2.79
Al 0.0000 0.0000 0.0000  4 Si 2.52, 2 Mg 2.74
Al 0.7500 0.2500 0.5000  4 Si 2.52, 2 Mg 2.74

***

(5)
Here is MgAlSi after structural relaxation from Alexandria. Energies are from PBE.

abc: 4.3928 4.3928 4.3928
angles: 60.00 60.00 60.00
With the nearest neighbours (Å) after each atom.
Fractional positions:
Al 0.0000 0.0000 0.0000  4 Si 2.69
Mg 0.5000 0.5000 0.5000  4 Si 2.69
Si 0.2500 0.2500 0.2500  4 Mg 2.69, 4 Al 2.69

***

(6)
Here is MgAlSi2 after structural relaxation from Alexandria. Energies are from PBE.

abc: 3.4301 3.4301 5.8857
angles: 90.00 90.00 90.00
With the nearest neighbours (Å) after each atom.
Fractional positions:
Al 0.5000 0.5000 0.2500  8 Si 2.71, 2 Mg 2.94
Mg 0.5000 0.5000 0.7500  2 Al 2.94, 8 Si 2.98
Si 0.0000 0.0000 0.0435  1 Si 2.43, 4 Al 2.71
Si 0.0000 0.0000 0.4565  1 Si 2.43, 4 Al 2.71

***

(7)
Here is MgAlSi after structural relaxation from Alexandria. Energies are from PBE.

abc: 2.9622 2.9622 6.8957
angles: 90.00 90.00 120.00
With the nearest neighbours (Å) after each atom.
Fractional positions:
Al 0.0000 0.0000 0.9845  3 Si 2.73, 6 Al 2.96, 3 Mg 2.99
Mg 0.6667 0.3333 0.3394  3 Si 2.88, 6 Mg 2.96, 3 Al 2.99
Si 0.3333 0.6667 0.6761  3 Al 2.73, 3 Mg 2.88, 6 Si 2.96

***

(8)
Here is Mg2Al3Si6 after structural relaxation from Alexandria. Energies are from PBE.

abc: 8.4812 8.4812 6.7420
angles: 90.74 90.74 23.26
With the nearest neighbours (Å) after each atom.
Fractional positions:
Mg 0.1671 0.1671 0.0150  7 Si 2.78-3.09, 1 Al 2.78
Mg 0.8329 0.8329 0.9850  7 Si 2.78-3.09, 1 Al 2.78
Al 0.9295 0.9295 0.3866  6 Si 2.78-2.89, 2 Al 2.78-2.87
Al 0.0705 0.0705 0.6134  6 Si 2.78-2.89, 2 Al 2.78-2.87
Al 0.0000 0.0000 0.0000  4 Si 2.64, 2 Mg 2.78, 2 Al 2.87
Si 0.6969 0.6969 0.3445  4 Si 2.40-2.47
Si 0.3031 0.3031 0.6555  4 Si 2.40-2.47
Si 0.5528 0.5528 0.2696  1 Si 2.44, 2 Al 2.64
Si 0.4472 0.4472 0.7304  1 Si 2.44, 2 Al 2.64
Si 0.3020 0.3020 0.2991  3 Si 2.40-2.47
Si 0.6980 0.6980 0.7009  3 Si 2.40-2.47

***

no.,formation energy without anion corrections (meV per atom)
1,22
2,154
3,194
4,266
5,91
6,150
7,153
8,163